Entry 1:
# Co2TcSb

A geometry-optimized Co2TcSb structure (PBE, Alexandria via LeMat-Bulk).

Cell and atoms, written as POSCAR:
```
Co2TcSb
1.0
-3.984 2.023 0.257
-0.701 -4.202 1.373
0.583 0.799 2.744
Co Sb Tc
2 1 1
direct
0.500 0.500 0.000
0.000 0.000 0.000
0.500 0.000 0.500
0.000 0.500 0.500
```

space-group type = Cmmm
crystal system = orthorhombic
formation energy from raw total energies = 27.7 kJ/mol of atoms

***

Entry 2:
# Co2TcSb

A geometry-optimized Co2TcSb structure (PBE, Alexandria via LeMat-Bulk).

Cell and atoms, written as POSCAR:
```
Co2TcSb
1.0
-0.949 4.420 1.222
-3.562 0.055 3.039
4.003 -2.429 -0.079
Sb Co Tc
1 2 1
direct
0.500 0.500 0.000
0.000 0.000 0.000
0.750 0.250 0.500
0.250 0.750 0.500
```

space-group type = I-4m2
crystal system = tetragonal
formation energy from raw total energies = 17.9 kJ/mol of atoms

***

Entry 3:
# Co2TcSb

A geometry-optimized Co2TcSb structure (PBE, Alexandria via LeMat-Bulk).

Cell and atoms, written as POSCAR:
```
Co2TcSb
1.0
4.220 0.000 0.000
0.000 2.828 -0.033
0.000 0.058 4.656
Tc Co Sb
1 2 1
direct
0.500 0.626 0.815
0.000 0.126 0.967
0.500 0.124 0.279
0.000 0.624 0.439
```

space-group type = Pmm2
crystal system = orthorhombic
formation energy from raw total energies = 22.1 kJ/mol of atoms

***

Entry 4:
# CoTc2Sb

A geometry-optimized CoTc2Sb structure (PBE, Alexandria via LeMat-Bulk).

Cell and atoms, written as POSCAR:
```
CoTc2Sb
1.0
5.035 -0.004 -0.002
2.122 4.566 0.002
-3.136 -2.975 2.582
Co Tc Sb
1 2 1
direct
0.486 0.486 0.000
0.743 0.243 0.500
0.008 0.008 0.000
0.263 0.763 0.500
```

space-group type = Imm2
crystal system = orthorhombic
formation energy from raw total energies = 22.2 kJ/mol of atoms